No. 1
The following is a DFT calculation (PBEsol) of an optimized crystal structure of SrTl2In.

Summary:
- VASP energy: -2.799 eV per atom
- Density of states at the Fermi level: 2.1 states/eV/cell

a b c (Å): 5.978 5.978 5.978
angles (deg): 132.48 132.48 69.48
Element x y z (fractional)
Sr (0.000, 0.000, 0.000)
Tl (0.500, 0.500, 0.000)
Tl (0.750, 0.250, 0.500)
In (0.250, 0.750, 0.500)

No. 2
The following is a DFT calculation (PBEsol) of an optimized crystal structure of Li4NbCo3O8.

Summary:
- VASP energy: -6.911 eV per atom
- Density of states at the Fermi level: 7.3 states/eV/cell
- Energy relative to the elements, uncorrected: -26.69 eV per formula unit
- Polymorph energy (0 for the lowest one): 0.0 kJ/mol of formula units

a b c (Å): 5.687 5.687 10.232
angles (deg): 105.25 105.25 60.62
Element x y z (fractional)
Li (0.247, 0.753, 0.750)
Li (0.248, 0.263, 0.249)
Li (0.252, 0.748, 0.250)
Li (0.263, 0.248, 0.749)
Li (0.737, 0.752, 0.251)
Li (0.748, 0.252, 0.750)
Li (0.752, 0.737, 0.751)
Li (0.753, 0.247, 0.250)
Nb (0.000, 0.500, 0.500)
Nb (0.500, 0.000, 0.000)
Co (0.000, 0.000, 0.000)
Co (0.000, 0.000, 0.500)
Co (0.000, 0.500, 0.000)
Co (0.500, 0.000, 0.500)
Co (0.500, 0.500, 0.000)
Co (0.500, 0.500, 0.500)
O (0.097, 0.648, 0.373)
O (0.122, 0.129, 0.882)
O (0.129, 0.122, 0.382)
O (0.140, 0.631, 0.904)
O (0.352, 0.903, 0.127)
O (0.369, 0.860, 0.596)
O (0.371, 0.391, 0.625)
O (0.391, 0.371, 0.125)
O (0.609, 0.629, 0.875)
O (0.629, 0.609, 0.375)
O (0.631, 0.140, 0.404)
O (0.648, 0.097, 0.873)
O (0.860, 0.369, 0.096)
O (0.871, 0.878, 0.618)
O (0.878, 0.871, 0.118)
O (0.903, 0.352, 0.627)

No. 3
The following is a DFT calculation (PBEsol) of an optimized crystal structure of Gd2ZnHg.

Summary:
- VASP energy: -8.212 eV per atom
- Density of states at the Fermi level: 4.9 states/eV/cell

a b c (Å): 5.119 5.119 5.119
angles (deg): 60.00 60.00 60.00
Element x y z (fractional)
Gd (0.250, 0.250, 0.250)
Gd (0.750, 0.750, 0.750)
Zn (0.000, 0.000, 0.000)
Hg (0.500, 0.500, 0.500)

No. 4
The following is a DFT calculation (PBEsol) of an optimized crystal structure of SrAu4.

Summary:
- VASP energy: -3.899 eV per atom
- Density of states at the Fermi level: 6.3 states/eV/cell

a b c (Å): 8.269 8.269 8.269
angles (deg): 109.47 109.47 109.47
Element x y z (fractional)
Sr (0.000, 0.000, 0.569)
Sr (0.000, 0.569, 0.000)
Sr (0.431, 0.431, 0.431)
Sr (0.569, 0.000, 0.000)
Au (0.000, 0.000, 0.210)
Au (0.000, 0.210, 0.000)
Au (0.000, 0.352, 0.352)
Au (0.000, 0.648, 0.648)
Au (0.210, 0.000, 0.000)
Au (0.250, 0.500, 0.750)
Au (0.250, 0.750, 0.500)
Au (0.352, 0.000, 0.352)
Au (0.352, 0.352, 0.000)
Au (0.500, 0.250, 0.750)
Au (0.500, 0.750, 0.250)
Au (0.648, 0.000, 0.648)
Au (0.648, 0.648, 0.000)
Au (0.750, 0.250, 0.500)
Au (0.750, 0.500, 0.250)
Au (0.790, 0.790, 0.790)

No. 5
The following is a DFT calculation (PBEsol) of an optimized crystal structure of MgCrAu4.

Summary:
- VASP energy: -4.571 eV per atom
- Density of states at the Fermi level: 2.0 states/eV/cell

a b c (Å): 5.391 5.391 5.391
angles (deg): 60.00 60.00 60.00
Element x y z (fractional)
Mg (0.000, 0.000, 0.000)
Cr (0.250, 0.250, 0.250)
Au (0.125, 0.625, 0.625)
Au (0.625, 0.125, 0.625)
Au (0.625, 0.625, 0.125)
Au (0.625, 0.625, 0.625)

No. 6
The following is a DFT calculation (PBEsol) of an optimized crystal structure of Tl2P.

Summary:
- VASP energy: -3.613 eV per atom
- Density of states at the Fermi level: 2.7 states/eV/cell
- Polymorph energy (0 for the lowest one): 0.8 kJ/mol of formula units

a b c (Å): 5.923 5.923 8.410
angles (deg): 110.02 110.02 32.22
Element x y z (fractional)
Tl (0.016, 0.016, 0.201)
Tl (0.345, 0.345, 0.412)
Tl (0.655, 0.655, 0.588)
Tl (0.984, 0.984, 0.799)
P (0.282, 0.282, 0.936)
P (0.718, 0.718, 0.064)

No. 7
The following is a DFT calculation (PBEsol) of an optimized crystal structure of InPb5.

Summary:
- VASP energy: -3.823 eV per atom
- Density of states at the Fermi level: 3.2 states/eV/cell
- Polymorph energy (0 for the lowest one): 0.0 kJ/mol of formula units

a b c (Å): 7.496 7.496 4.961
angles (deg): 90.00 90.00 141.41
Element x y z (fractional)
In (0.000, 0.000, 0.000)
Pb (0.165, 0.835, 0.500)
Pb (0.334, 0.666, 0.000)
Pb (0.500, 0.500, 0.500)
Pb (0.666, 0.334, 0.000)
Pb (0.835, 0.165, 0.500)

No. 8
The following is a DFT calculation (PBEsol) of an optimized crystal structure of CsNb2I2.

Summary:
- VASP energy: -5.152 eV per atom
- Density of states at the Fermi level: 4.2 states/eV/cell
- Energy relative to the elements, uncorrected: 0.36 eV per formula unit

a b c (Å): 8.721 8.721 8.721
angles (deg): 152.41 152.41 39.42
Element x y z (fractional)
Cs (0.000, 0.000, 0.000)
Nb (0.250, 0.750, 0.500)
Nb (0.750, 0.250, 0.500)
I (0.367, 0.367, 0.000)
I (0.633, 0.633, 0.000)

- Which of these has the highest VASP energy?
  SrTl2In